{
  "formula": "Li4TbPt2",
  "functional": "PBE",
  "state": "optimized geometry",
  "energy_ev_per_atom": -4.09,
  "lattice": [[-3.4215, -2.2465, -0.4494], [1.8471, -4.0438, 6.1511], [-3.7972, 4.9095, 4.3678]],
  "species": ["Li", "Tb", "Li", "Tb", "Li", "Li", "Li", "Li", "Pt", "Pt", "Li", "Pt", "Pt", "Li"],
  "frac_coords": [[0.5000, 0.1531, 0.5985], [0.5000, 0.0000, 0.0000], [0.0000, 0.3469, 0.0985], [0.0000, 0.5000, 0.5000], [0.5000, 0.4015, 0.8469], [0.0000, 0.6531, 0.9015], [0.5000, 0.5985, 0.1531], [0.0000, 0.0985, 0.3469], [0.5000, 0.7055, 0.7055], [0.5000, 0.2945, 0.2945], [0.5000, 0.8469, 0.4015], [0.0000, 0.2055, 0.7945], [0.0000, 0.7945, 0.2055], [0.0000, 0.9015, 0.6531]]
}